LaGa3Cu: relaxed, GGA-PBEsol.

The formation energy comes out at 1.30 eV/atom. Its space group is No. 221. As for the energy above the most stable polymorph in this dataset: 1861.1 meV/atom. The calculation puts the density of states at the Fermi level at 1.177 states/eV/atom. As for the crystal system: cubic.

The structure in extended XYZ format:
```
5
Lattice="5.5182 0.0000 0.0000 0.0000 5.5182 0.0000 0.0000 0.0000 5.5182" Properties=species:S:1:pos:R:3 pbc="T T T"
La 0.0000 0.0000 0.0000
Ga 0.0000 0.0000 2.7591
Ga 0.0000 2.7591 0.0000
Ga 2.7591 0.0000 0.0000
Cu 2.7591 2.7591 2.7591
```


Sn2MoHAu: relaxed, GGA-PBEsol.

Its space group is No. 123. The calculation puts the density of states at the Fermi level at 0.548 states/eV/atom. As for the crystal system: tetragonal.

The structure in extended XYZ format:
```
5
Lattice="4.7334 0.0000 0.0000 0.0000 4.7334 0.0000 0.0000 0.0000 3.5326" Properties=species:S:1:pos:R:3 pbc="T T T"
Sn 0.0000 2.3667 0.0000
Sn 2.3667 0.0000 0.0000
Mo 0.0000 0.0000 1.7663
H 0.0000 0.0000 0.0000
Au 2.3667 2.3667 1.7663
```


Sb2TeAu: relaxed, GGA-PBEsol.

Its space group is No. 47. The calculation puts the density of states at the Fermi level at 0.495 states/eV/atom. The formation energy (no corrections) comes out at -0.038 eV/atom. As for the crystal system: orthorhombic.

The structure in extended XYZ format:
```
4
Lattice="3.0221 0.0000 0.0000 0.0000 4.1011 0.0000 0.0000 0.0000 8.5069" Properties=species:S:1:pos:R:3 pbc="T T T"
Sb 0.0000 0.0000 1.8243
Sb 0.0000 0.0000 6.6826
Te 0.0000 2.0506 4.2535
Au 0.0000 2.0506 0.0000
```


CuTeRh2: relaxed, GGA-PBEsol.

Its space group is No. 119. The calculation puts the density of states at the Fermi level at 1.052 states/eV/atom. The formation energy (no corrections) comes out at 0.072 eV/atom. As for the crystal system: tetragonal.

The structure in extended XYZ format:
```
4
Lattice="-1.9147 1.9147 4.0430 1.9147 -1.9147 4.0430 1.9147 1.9147 -4.0430" Properties=species:S:1:pos:R:3 pbc="T T T"
Cu 0.0000 0.0000 0.0000
Te 1.9147 0.0000 2.0215
Rh 0.0000 0.0000 4.0430
Rh 0.0000 1.9147 2.0215
```


La2AlCl: relaxed, GGA-PBEsol.

Its space group is No. 47. As for the energy above the most stable polymorph in this dataset: 0.0 meV/atom. The calculation puts the density of states at the Fermi level at 0.502 states/eV/atom. The formation energy (no corrections) comes out at -0.935 eV/atom. As for the crystal system: orthorhombic.

The structure in extended XYZ format:
```
4
Lattice="3.6162 0.0000 0.0000 0.0000 3.6347 0.0000 0.0000 0.0000 8.4844" Properties=species:S:1:pos:R:3 pbc="T T T"
La 0.0000 0.0000 1.9298
La 0.0000 0.0000 6.5545
Al 1.8081 1.8174 0.0000
Cl 1.8081 0.0000 4.2422
```


RbCO2: relaxed, GGA-PBEsol.

Its space group is No. 55. The calculation puts the density of states at the Fermi level at 0.000 states/eV/atom. The formation energy (no corrections) comes out at -1.548 eV/atom. As for the crystal system: orthorhombic.

The structure in extended XYZ format:
```
16
Lattice="6.2830 0.0000 0.0000 0.0000 11.2788 0.0000 0.0000 0.0000 3.5835" Properties=species:S:1:pos:R:3 pbc="T T T"
Rb 0.6052 1.7049 0.0000
Rb 2.5363 7.3443 0.0000
Rb 3.7467 3.9344 0.0000
Rb 5.6778 9.5738 0.0000
C 0.4294 4.9787 1.7918
C 2.7122 10.6181 1.7918
C 3.5709 0.6607 1.7918
C 5.8537 6.3001 1.7918
O 0.2034 7.3990 1.7918
O 1.4534 10.7501 1.7918
O 1.6881 5.1107 1.7918
O 2.9381 1.7596 1.7918
O 3.3449 9.5191 1.7918
O 4.5949 6.1680 1.7918
O 4.8296 0.5286 1.7918
O 6.0796 3.8798 1.7918
```


Ba3TlBi: relaxed, GGA-PBEsol.

The formation energy comes out at -0.17 eV/atom. Its space group is No. 221. The calculation puts the density of states at the Fermi level at 0.816 states/eV/atom. As for the crystal system: cubic.

The structure in extended XYZ format:
```
5
Lattice="6.3510 0.0000 0.0000 0.0000 6.3510 0.0000 0.0000 0.0000 6.3510" Properties=species:S:1:pos:R:3 pbc="T T T"
Ba 0.0000 0.0000 3.1755
Ba 0.0000 3.1755 0.0000
Ba 3.1755 0.0000 0.0000
Tl 0.0000 0.0000 0.0000
Bi 3.1755 3.1755 3.1755
```


LiTiPO4F: relaxed, GGA-PBEsol.

Its space group is No. 2. The calculation puts the density of states at the Fermi level at 0.548 states/eV/atom. The formation energy (no corrections) comes out at -2.631 eV/atom. As for the crystal system: triclinic.

The structure in extended XYZ format:
```
16
Lattice="5.1828 0.0000 0.0000 -0.7447 5.3097 0.0000 -2.3379 -2.4350 6.5166" Properties=species:S:1:pos:R:3 pbc="T T T"
Li 0.1974 1.2859 2.0743
Li 1.9029 1.5889 4.4423
Ti 2.5914 0.0000 0.0000
Ti 1.4225 -1.2175 3.2583
P -1.0546 0.1512 4.7865
P 3.1548 2.7236 1.7301
O -0.8629 3.0286 2.7059
O -1.4933 1.4744 5.4554
O -0.8796 -0.9816 5.7971
O 0.2504 0.3565 3.9561
O 1.8498 2.5182 2.5606
O 2.9799 3.8563 0.7195
O 3.5935 1.4003 1.0612
O 2.9631 -0.1539 3.8107
F 1.2993 -0.1865 1.5210
F 0.8009 3.0612 4.9956
```


RbSm2CuS4: relaxed, GGA-PBEsol.

Its space group is No. 63. The formation energy (no corrections) comes out at -1.671 eV/atom. As for the crystal system: orthorhombic.

The structure in extended XYZ format:
```
16
Lattice="1.9918 -6.9007 0.0000 1.9918 6.9007 0.0000 0.0000 0.0000 13.7170" Properties=species:S:1:pos:R:3 pbc="T T T"
Rb 1.9918 5.4369 10.2877
Rb 1.9918 -5.4369 3.4292
Sm 1.9918 1.8576 7.7000
Sm 1.9918 1.8576 12.8754
Sm 1.9918 -1.8576 0.8415
Sm 1.9918 -1.8576 6.0169
Cu 1.9918 4.6362 3.4292
Cu 1.9918 -4.6362 10.2877
S 0.0000 0.0000 0.0000
S 0.0000 0.0000 6.8585
S 1.9918 3.2972 1.5477
S 1.9918 3.2972 5.3108
S 1.9918 1.0236 10.2877
S 1.9918 -1.0236 3.4292
S 1.9918 -3.2972 8.4062
S 1.9918 -3.2972 12.1693
```


CdSiW2: relaxed, GGA-PBEsol.

Its space group is No. 47. As for the energy above the most stable polymorph in this dataset: 219.6 meV/atom. The calculation puts the density of states at the Fermi level at 0.647 states/eV/atom. The formation energy (no corrections) comes out at 0.572 eV/atom. As for the crystal system: orthorhombic.

The structure in extended XYZ format:
```
4
Lattice="3.2263 0.0000 0.0000 0.0000 4.3676 0.0000 0.0000 0.0000 4.4876" Properties=species:S:1:pos:R:3 pbc="T T T"
Cd 0.0000 0.0000 0.0000
Si 1.6131 0.0000 2.2438
W 0.0000 2.1838 2.2438
W 1.6131 2.1838 0.0000
```


Ba2TeIr: relaxed, GGA-PBEsol.

Its space group is No. 216. The calculation puts the density of states at the Fermi level at 0.926 states/eV/atom. The formation energy (no corrections) comes out at -0.118 eV/atom. As for the crystal system: cubic.

The structure in extended XYZ format:
```
4
Lattice="0.0000 3.8146 3.8146 3.8146 0.0000 3.8146 3.8146 3.8146 0.0000" Properties=species:S:1:pos:R:3 pbc="T T T"
Ba 0.0000 0.0000 0.0000
Ba 1.9073 1.9073 1.9073
Te 3.8146 3.8146 3.8146
Ir 5.7219 5.7219 5.7219
```


CaSO2F: relaxed, GGA-PBEsol.

Its space group is No. 123. The calculation puts the density of states at the Fermi level at 0.710 states/eV/atom. The formation energy (no corrections) comes out at -0.427 eV/atom. As for the crystal system: tetragonal.

The structure in extended XYZ format:
```
5
Lattice="4.5636 0.0000 0.0000 0.0000 4.5636 0.0000 0.0000 0.0000 4.3040" Properties=species:S:1:pos:R:3 pbc="T T T"
Ca 0.0000 0.0000 0.0000
S 2.2818 2.2818 2.1520
O 0.0000 2.2818 0.0000
O 2.2818 0.0000 0.0000
F 0.0000 0.0000 2.1520
```


no.,total magnetic moment (μB/f.u.),volume (Å³/cell),VASP energy (eV per atom)
1,0.0,168.0,-2.638
2,0.0,79.1,-5.233
3,0.0,105.4,-4.179
4,0.0,59.3,-5.963
5,0.0,111.5,-5.133
6,0.0,253.9,-6.839
7,0.0,256.2,-2.847
8,1.0,179.3,-7.507
9,0.0,377.1,-5.806
10,0.0,63.2,-8.068
11,0.0,111.0,-4.530
12,5.0,89.6,-4.216